# KAl3In PBE optimized geometry
data_KAl3In
_symmetry_space_group_name_H-M 'P m -3 m'
_symmetry_Int_Tables_number 221
_symmetry_space_group_name_Hall '-P 4 2 3'
_cell_length_a 5.466
_cell_length_b 5.466
_cell_length_c 5.466
_cell_angle_alpha 90.00
_cell_angle_beta 90.00
_cell_angle_gamma 90.00
loop_
_atom_site_label
_atom_site_type_symbol
_atom_site_fract_x
_atom_site_fract_y
_atom_site_fract_z
K1 K 0.000 0.000 0.000
Al1 Al 0.000 0.500 0.500
In1 In 0.500 0.500 0.500
# Energy above the most stable polymorph in this dataset ... 0.000 eV/atom
# Energy of formation ... 3.09 eV/f.u.
# DFT total energy ... -2.395 eV/atom
# Total magnetization ... 0.0 μB/f.u.